Density functional theory data (PBE-GGA) for crystalline AlRe2 at its relaxed geometry.

## Properties
Magnetic moment ... 0.01 Bohr magnetons per cell
Total energy ... -9.38 eV per atom

a = 5.0112 Å, b = 5.0112 Å, c = 8.2139 Å
α = 90.00°, β = 90.00°, γ = 120.41°
Fractional coordinates of all 12 atoms:
Al  0.3501  0.1567  0.2500
Al  0.8433  0.6499  0.2500
Al  0.1567  0.3501  0.7500
Al  0.6499  0.8433  0.7500
Re  0.0000  0.0000  0.0000
Re  0.3377  0.6623  0.0483
Re  0.8400  0.1600  0.2500
Re  0.3377  0.6623  0.4517
Re  0.0000  0.0000  0.5000
Re  0.6623  0.3377  0.5483
Re  0.1600  0.8400  0.7500
Re  0.6623  0.3377  0.9517